Entry 1:
The following is a PBE-GGA calculation of an optimized crystal structure of VSbTe2, from the Alexandria database.

Computed properties:
Formation energy without anion corrections: 0.60 eV per atom
Crystal system: trigonal

abc: 13.012 13.012 13.012
angles: 14.25 14.25 14.25
Site moments in Bohr magnetons follow the coordinates.
Fractional coordinates of all 4 atoms:
1 Te 0.930 0.930 0.930  0.02
2 Te 0.070 0.070 0.070  0.02
3 Sb 0.500 0.500 0.500  0.14
4 V 0.000 0.000 0.000  2.72

=====

Entry 2:
The following is a PBE-GGA calculation of an optimized crystal structure of SrYBr2, from the Alexandria database.

Computed properties:
Formation energy without anion corrections: -1.08 eV per atom
Crystal system: orthorhombic

abc: 6.395 6.395 6.395
angles: 145.53 113.25 77.34
Fractional coordinates of all 4 atoms:
1 Sr 0.750 0.250 0.500
2 Y 0.250 0.750 0.500
3 Br 0.025 0.025 0.000
4 Br 0.475 0.475 0.000

=====

Entry 3:
The following is a PBE-GGA calculation of an optimized crystal structure of SrDyZn2Ge2, from the Alexandria database.

Computed properties:
E_form: -0.57 eV/atom
Crystal system: trigonal

abc: 4.285 4.285 8.533
angles: 90.00 90.00 120.00
Fractional coordinates of all 6 atoms:
1 Ge 0.333 0.667 0.267
2 Ge 0.667 0.333 0.733
3 Dy 0.000 0.000 0.500
4 Sr 0.000 0.000 0.000
5 Zn 0.667 0.333 0.289
6 Zn 0.333 0.667 0.711

=====

Entry 4:
The following is a PBE-GGA calculation of an optimized crystal structure of NdGd2Lu, from the Alexandria database.

Computed properties:
E_form: 0.03 eV/atom
Crystal system: trigonal

abc: 3.579 3.579 11.842
angles: 81.31 81.31 60.00
Site moments in Bohr magnetons follow the coordinates.
Fractional coordinates of all 4 atoms:
1 Nd 0.000 0.000 0.000  -0.06
2 Gd 0.248 0.248 0.257  7.13
3 Gd 0.752 0.752 0.743  7.13
4 Lu 0.500 0.500 0.500  -0.01